No. 1
## Co2RuBr (GGA-PBE)

Data for a relaxed Co2RuBr crystal.

Lattice parameters (Å, degrees): 8.150 8.150 8.150 20.37 20.37 20.37
Fractional coordinates of all 4 atoms:
Co1 0.000 0.000 0.000
Co2 0.258 0.258 0.258
Ru1 0.748 0.748 0.748
Br1 0.505 0.505 0.505

Summary:
formation energy without anion corrections	0.686	eV/atom

---

No. 2
## CoMoRu2 (GGA-PBE)

Data for a relaxed CoMoRu2 crystal.

Lattice parameters (Å, degrees): 8.849 8.849 8.849 17.54 17.54 17.54
Fractional coordinates of all 4 atoms:
Co1 0.000 0.000 0.000
Mo1 0.251 0.251 0.251
Ru1 0.497 0.497 0.497
Ru2 0.746 0.746 0.746

Summary:
ΔE_f	0.199	eV/atom

---

No. 3
## CsRhC3 (GGA-PBE)

Data for a relaxed CsRhC3 crystal.

Lattice parameters (Å, degrees): 4.398 4.398 4.398 90.00 90.00 90.00
Fractional coordinates of all 5 atoms:
Cs1 0.000 0.000 0.000
Rh1 0.500 0.500 0.500
C1 0.000 0.000 0.500
C2 0.000 0.500 0.000
C3 0.500 0.000 0.000

Summary:
ΔE_f	4.475	eV/atom

---

No. 4
## Na2CaAsSe4 (GGA-PBE)

Data for a relaxed Na2CaAsSe4 crystal.

Lattice parameters (Å, degrees): 8.285 8.285 8.285 124.36 116.09 89.77
Fractional coordinates of all 16 atoms:
Na1 0.000 0.000 0.000
Na2 0.500 0.000 0.000
Na3 0.500 0.000 0.500
Na4 0.500 0.500 0.500
Ca1 0.000 0.500 0.500
Ca2 0.500 0.500 0.000
As1 0.000 0.000 0.500
As2 0.000 0.500 0.000
Se1 0.217 0.750 0.468
Se2 0.218 0.250 0.968
Se3 0.233 0.235 0.502
Se4 0.233 0.732 0.998
Se5 0.767 0.268 0.002
Se6 0.767 0.765 0.498
Se7 0.782 0.750 0.032
Se8 0.783 0.250 0.532

Summary:
formation energy without anion corrections	-0.872	eV/atom

---

No. 5
## CuAs2Ir (GGA-PBE)

Data for a relaxed CuAs2Ir crystal.

Lattice parameters (Å, degrees): 7.734 7.734 7.734 23.31 23.31 23.31
Fractional coordinates of all 4 atoms:
Cu1 0.000 0.000 0.000
As1 0.250 0.250 0.250
As2 0.750 0.750 0.750
Ir1 0.500 0.500 0.500

Summary:
ΔE_f	0.123	eV/atom

---

No. 6
## BaTl5Hg7 (GGA-PBE)

Data for a relaxed BaTl5Hg7 crystal.

Lattice parameters (Å, degrees): 8.458 8.458 8.458 134.20 102.71 94.75
Fractional coordinates of all 13 atoms:
Ba1 0.000 0.000 0.000
Tl1 0.225 0.725 0.500
Tl2 0.521 0.498 0.525
Tl3 0.521 0.997 0.023
Tl4 0.974 0.498 0.977
Tl5 0.974 0.997 0.475
Hg1 0.228 0.510 0.719
Hg2 0.311 0.311 0.000
Hg3 0.348 0.995 0.352
Hg4 0.580 0.580 0.000
Hg5 0.643 0.995 0.648
Hg6 0.791 0.510 0.281
Hg7 0.845 0.345 0.500

Summary:
ΔE_f	-0.086	eV/atom